Entry from Alexandria via LeMat-Bulk: a geometry-optimized Sm2PaAg structure (GGA-PBE).

abc: 3.5298 3.5298 8.6466
angles: 90.00 90.00 90.00
Last column: nearest neighbours and their distance in Å.
Element x y z (fractional)
Sm 0.0000 0.0000 0.2326  4 Ag 3.21, 4 Pa 3.40, 4 Sm 3.53
Sm 0.0000 0.0000 0.7674  4 Ag 3.21, 4 Pa 3.40, 4 Sm 3.53
Pa 0.5000 0.5000 0.5000  8 Sm 3.40, 4 Pa 3.53
Ag 0.5000 0.5000 0.0000  8 Sm 3.21, 4 Ag 3.53

Results
energy of formation from the pure elements	-0.002	eV per atom
volume	107.7	Å³ per cell
energy relative to the lowest polymorph listed for this composition	0	meV per atom
theoretical density	9.86	g/cm³


Entry from Alexandria via LeMat-Bulk: a geometry-optimized Sm2PaAg structure (GGA-PBE).

abc: 11.8303 11.8303 11.8303
angles: 15.87 15.87 15.87
Last column: nearest neighbours and their distance in Å.
Element x y z (fractional)
Sm 0.0925 0.0925 0.0925  3 Ag 3.21, 1 Pa 3.24, 6 Sm 3.27
Sm 0.9075 0.9075 0.9075  3 Ag 3.21, 1 Pa 3.24, 6 Sm 3.27
Pa 0.0000 0.0000 0.0000  2 Sm 3.24, 6 Pa 3.27
Ag 0.5000 0.5000 0.5000  6 Sm 3.21, 6 Ag 3.27

Results
energy of formation from the pure elements	0.284	eV per atom
volume	107.9	Å³ per cell
energy relative to the lowest polymorph listed for this composition	286	meV per atom
theoretical density	9.84	g/cm³


Entry from Alexandria via LeMat-Bulk: a geometry-optimized SmPaAgSn structure (GGA-PBE).

abc: 5.3091 5.3091 5.3091
angles: 60.00 60.00 60.00
Last column: nearest neighbours and their distance in Å.
Element x y z (fractional)
Sm 0.0000 0.0000 0.0000  4 Sn 3.25, 4 Ag 3.25
Pa 0.5000 0.5000 0.5000  4 Sn 3.25, 4 Ag 3.25
Ag 0.7500 0.7500 0.7500  4 Pa 3.25, 4 Sm 3.25
Sn 0.2500 0.2500 0.2500  4 Pa 3.25, 4 Sm 3.25

Results
energy of formation from the pure elements	-0.096	eV per atom
volume	105.8	Å³ per cell
theoretical density	9.54	g/cm³


Entry from Alexandria via LeMat-Bulk: a geometry-optimized SmPaTcAg structure (GGA-PBE).

abc: 5.0233 5.0233 5.0233
angles: 60.00 60.00 60.00
Last column: nearest neighbours and their distance in Å.
Element x y z (fractional)
Sm 0.0000 0.0000 0.0000  4 Ag 3.08, 4 Tc 3.08
Pa 0.5000 0.5000 0.5000  4 Tc 3.08, 4 Ag 3.08
Tc 0.2500 0.2500 0.2500  4 Pa 3.08, 4 Sm 3.08
Ag 0.7500 0.7500 0.7500  4 Sm 3.08, 4 Pa 3.08

Results
energy of formation from the pure elements	0.086	eV per atom
volume	89.6	Å³ per cell
theoretical density	10.88	g/cm³


Entry from Alexandria via LeMat-Bulk: a geometry-optimized PaAgSn2 structure (GGA-PBE).

abc: 4.6803 4.6803 4.3613
angles: 90.00 90.00 90.00
Last column: nearest neighbours and their distance in Å.
Element x y z (fractional)
Pa 0.0000 0.0000 0.0000  8 Sn 3.20, 4 Ag 3.31
Ag 0.5000 0.5000 0.0000  8 Sn 3.20, 4 Pa 3.31
Sn 0.0000 0.5000 0.5000  4 Pa 3.20, 4 Ag 3.20, 4 Sn 3.31
Sn 0.5000 0.0000 0.5000  4 Pa 3.20, 4 Ag 3.20, 4 Sn 3.31

Results
energy of formation from the pure elements	-0.202	eV per atom
volume	95.5	Å³ per cell
energy relative to the lowest polymorph listed for this composition	0	meV per atom
theoretical density	10.02	g/cm³


Entry from Alexandria via LeMat-Bulk: a geometry-optimized PaAgSn2 structure (GGA-PBE).

abc: 3.5781 3.5781 7.4355
angles: 90.00 90.00 90.00
Last column: nearest neighbours and their distance in Å.
Element x y z (fractional)
Pa 0.0000 0.0000 0.0000  8 Sn 3.27, 4 Pa 3.58
Ag 0.0000 0.0000 0.5000  8 Sn 3.02
Sn 0.5000 0.5000 0.2787  4 Ag 3.02, 4 Pa 3.27, 1 Sn 3.29
Sn 0.5000 0.5000 0.7213  4 Ag 3.02, 4 Pa 3.27, 1 Sn 3.29

Results
energy of formation from the pure elements	0.027	eV per atom
volume	95.2	Å³ per cell
energy relative to the lowest polymorph listed for this composition	229	meV per atom
theoretical density	10.05	g/cm³


Entry from Alexandria via LeMat-Bulk: a geometry-optimized PaAgSn2 structure (GGA-PBE).

abc: 5.1701 5.1701 5.1701
angles: 60.00 60.00 60.00
Last column: nearest neighbours and their distance in Å.
Element x y z (fractional)
Pa 0.0000 0.0000 0.0000  8 Sn 3.17
Ag 0.5000 0.5000 0.5000  8 Sn 3.17
Sn 0.2500 0.2500 0.2500  4 Ag 3.17, 4 Pa 3.17
Sn 0.7500 0.7500 0.7500  4 Pa 3.17, 4 Ag 3.17

Results
energy of formation from the pure elements	0.050	eV per atom
volume	97.7	Å³ per cell
energy relative to the lowest polymorph listed for this composition	251	meV per atom
theoretical density	9.79	g/cm³


Entry from Alexandria via LeMat-Bulk: a geometry-optimized PaTcAgSn structure (GGA-PBE).

abc: 4.8771 4.8771 4.8771
angles: 60.00 60.00 60.00
Last column: nearest neighbours and their distance in Å.
Element x y z (fractional)
Pa 0.0000 0.0000 0.0000  4 Tc 2.99, 4 Ag 2.99
Tc 0.2500 0.2500 0.2500  4 Sn 2.99, 4 Pa 2.99
Ag 0.7500 0.7500 0.7500  4 Sn 2.99, 4 Pa 2.99
Sn 0.5000 0.5000 0.5000  4 Tc 2.99, 4 Ag 2.99

Results
energy of formation from the pure elements	0.093	eV per atom
volume	82.0	Å³ per cell
theoretical density	11.25	g/cm³


Entry from Alexandria via LeMat-Bulk: a geometry-optimized ThPaAgSn structure (GGA-PBE).

abc: 5.3197 5.3197 5.3197
angles: 60.00 60.00 60.00
Last column: nearest neighbours and their distance in Å.
Element x y z (fractional)
Th 0.0000 0.0000 0.0000  4 Sn 3.26, 4 Ag 3.26
Pa 0.5000 0.5000 0.5000  4 Sn 3.26, 4 Ag 3.26
Ag 0.2500 0.2500 0.2500  4 Pa 3.26, 4 Th 3.26
Sn 0.7500 0.7500 0.7500  4 Pa 3.26, 4 Th 3.26

Results
energy of formation from the pure elements	-0.002	eV per atom
volume	106.5	Å³ per cell
theoretical density	10.76	g/cm³


Entry from Alexandria via LeMat-Bulk: a geometry-optimized TmPaAgSn structure (GGA-PBE).

abc: 5.2248 5.2248 5.2248
angles: 60.00 60.00 60.00
Last column: nearest neighbours and their distance in Å.
Element x y z (fractional)
Tm 0.0000 0.0000 0.0000  4 Sn 3.20, 4 Ag 3.20
Pa 0.5000 0.5000 0.5000  4 Ag 3.20, 4 Sn 3.20
Ag 0.7500 0.7500 0.7500  4 Pa 3.20, 4 Tm 3.20
Sn 0.2500 0.2500 0.2500  4 Pa 3.20, 4 Tm 3.20

Results
energy of formation from the pure elements	-0.095	eV per atom
volume	100.9	Å³ per cell
theoretical density	10.32	g/cm³


Entry from Alexandria via LeMat-Bulk: a geometry-optimized YPaAgSn structure (GGA-PBE).

abc: 5.2630 5.2630 5.2630
angles: 60.00 60.00 60.00
Last column: nearest neighbours and their distance in Å.
Element x y z (fractional)
Y 0.0000 0.0000 0.0000  4 Sn 3.22, 4 Ag 3.22
Pa 0.5000 0.5000 0.5000  4 Sn 3.22, 4 Ag 3.22
Ag 0.7500 0.7500 0.7500  4 Pa 3.22, 4 Y 3.22
Sn 0.2500 0.2500 0.2500  4 Pa 3.22, 4 Y 3.22

Results
energy of formation from the pure elements	-0.115	eV per atom
volume	103.1	Å³ per cell
theoretical density	8.80	g/cm³


Entry from Alexandria via LeMat-Bulk: a geometry-optimized PaZnAgSn structure (GGA-PBE).

abc: 4.9920 4.9920 4.9920
angles: 60.00 60.00 60.00
Last column: nearest neighbours and their distance in Å.
Element x y z (fractional)
Pa 0.0000 0.0000 0.0000  4 Sn 3.06, 4 Zn 3.06
Zn 0.7500 0.7500 0.7500  4 Pa 3.06, 4 Ag 3.06
Ag 0.5000 0.5000 0.5000  4 Zn 3.06, 4 Sn 3.06
Sn 0.2500 0.2500 0.2500  4 Ag 3.06, 4 Pa 3.06

Results
energy of formation from the pure elements	0.065	eV per atom
volume	88.0	Å³ per cell
theoretical density	9.87	g/cm³